A relaxed structure of Pu2TlZn, computed with GGA-PBE.

```
Pu2TlZn
1.0
-4.646 -2.630 0.763
1.184 -1.139 3.286
-1.441 2.999 1.559
Tl Zn Pu
1 1 2
Cartesian
-2.323 -1.315 0.382
-2.451 -0.385 2.804
-0.720 1.499 0.780
0.592 -0.570 1.643
```

Calculated values
E_form	52	kJ per mole of atoms
raw total energy	-7.538	eV/atom


A relaxed structure of PuZrTl2, computed with GGA-PBE.

```
PuZrTl2
1.0
3.338 0.000 0.000
1.669 2.891 0.000
1.669 0.964 10.639
Tl Zr Pu
2 1 1
Cartesian
1.669 0.964 2.547
5.007 2.891 8.092
0.000 0.000 0.000
3.338 1.927 5.319
```

Calculated values
E_form	6	kJ per mole of atoms
E above lowest polymorph	103.6	meV per atom
raw total energy	-6.844	eV/atom


A relaxed structure of PuZrTl2, computed with GGA-PBE.

```
PuZrTl2
1.0
5.251 0.000 0.000
2.625 4.547 0.000
2.625 1.516 4.287
Tl Zr Pu
2 1 1
Cartesian
2.625 1.516 1.072
7.876 4.547 3.215
0.000 0.000 0.000
5.251 3.032 2.144
```

Calculated values
E_form	7	kJ per mole of atoms
E above lowest polymorph	118.0	meV per atom
raw total energy	-6.829	eV/atom


A relaxed structure of PuZr7Tl4, computed with GGA-PBE.

```
PuZr7Tl4
1.0
-2.216 -4.376 -2.320
3.049 0.215 -9.663
3.435 -5.192 0.168
Pu Zr Tl
1 7 4
Cartesian
0.000 0.000 0.000
2.770 -5.903 -10.546
1.498 -3.450 -1.268
2.849 -1.612 -6.024
1.420 -7.740 -5.790
3.446 -5.295 -5.993
-1.108 -2.188 -1.160
0.822 -4.058 -5.821
1.412 -5.632 -3.415
2.856 -3.721 -8.399
3.515 -7.567 -8.118
0.754 -1.786 -3.696
```

Calculated values
E_form	23	kJ per mole of atoms
raw total energy	-6.729	eV/atom


A relaxed structure of PuZrTl2, computed with GGA-PBE.

```
PuZrTl2
1.0
3.252 0.000 0.000
0.000 3.252 0.000
0.000 0.000 9.345
Tl Zr Pu
2 1 1
Cartesian
0.000 0.000 7.128
0.000 0.000 2.217
1.626 1.626 0.000
1.626 1.626 4.672
```

Calculated values
E_form	-4	kJ per mole of atoms
E above lowest polymorph	0.0	meV per atom
raw total energy	-6.947	eV/atom


A relaxed structure of PuZr2Tl, computed with GGA-PBE.

```
PuZr2Tl
1.0
-3.820 2.548 -2.315
-1.865 -1.684 -4.487
-4.705 -2.062 -0.218
Pu Zr Tl
1 2 1
Cartesian
-5.195 -0.599 -3.509
-4.704 -2.061 -0.218
-2.597 -0.299 -1.755
-7.792 -0.899 -5.265
```

Calculated values
E_form	16	kJ per mole of atoms
E above lowest polymorph	171.8	meV per atom
raw total energy	-8.285	eV/atom


A relaxed structure of PuZr2Tl, computed with GGA-PBE.

```
PuZr2Tl
1.0
-2.867 1.502 -0.384
-1.221 -1.689 2.506
2.629 6.456 5.631
Tl Zr Pu
1 2 1
Cartesian
-0.729 3.135 3.876
1.956 4.802 4.188
0.673 1.654 1.442
-2.044 -0.093 1.061
```

Calculated values
E_form	7	kJ per mole of atoms
E above lowest polymorph	77.4	meV per atom
raw total energy	-8.379	eV/atom


A relaxed structure of PuZr2Tl3, computed with GGA-PBE.

```
PuZr2Tl3
1.0
-0.831 -2.762 -1.476
-1.428 -1.025 2.722
-11.835 5.723 -4.053
Pu Zr Tl
1 2 3
Cartesian
-7.046 0.968 -1.403
-11.097 2.926 -2.790
-2.996 -0.991 -0.016
0.000 0.000 0.000
-8.041 3.889 -2.754
-3.793 1.834 -1.299
```

Calculated values
E_form	-5	kJ per mole of atoms
raw total energy	-6.478	eV/atom


A relaxed structure of PuZr5Tl2, computed with GGA-PBE.

```
PuZr5Tl2
1.0
5.982 0.150 -1.686
-3.393 4.930 -1.682
-0.078 -0.156 6.214
Pu Zr Tl
1 5 2
Cartesian
2.013 3.951 -2.620
0.682 1.332 2.171
-1.057 3.723 4.436
3.630 1.329 4.436
1.977 3.873 0.488
0.717 1.414 -0.937
-1.014 3.796 1.329
3.674 1.408 1.330
```

Calculated values
E_form	0	kJ per mole of atoms
raw total energy	-7.726	eV/atom


A relaxed structure of PuZr7Tl3, computed with GGA-PBE.

```
PuZr7Tl3
1.0
-3.865 1.918 2.895
-2.731 -2.265 -6.808
0.889 -7.480 1.481
Pu Zr Tl
1 7 3
Cartesian
-2.853 -3.914 -1.216
-1.154 -1.586 -0.494
-3.267 -6.091 -4.989
-3.862 0.313 -0.700
-1.844 -8.140 -1.733
-0.921 -4.873 -2.664
-2.439 -1.736 2.556
-4.552 -6.242 -1.939
-1.940 -3.404 -4.999
-1.932 0.959 1.447
0.099 -6.342 -0.329
```

Calculated values
E_form	24	kJ per mole of atoms
raw total energy	-7.144	eV/atom


A relaxed structure of PuZr2Tl, computed with GGA-PBE.

```
PuZr2Tl
1.0
5.089 0.000 0.000
2.544 4.407 0.000
2.544 1.469 4.155
Tl Zr Pu
1 2 1
Cartesian
0.000 0.000 0.000
2.544 1.469 1.039
7.633 4.407 3.116
5.089 2.938 2.077
```

Calculated values
E_form	10	kJ per mole of atoms
E above lowest polymorph	115.0	meV per atom
raw total energy	-8.342	eV/atom


A relaxed structure of PuZr2Tl, computed with GGA-PBE.

```
PuZr2Tl
1.0
-2.541 2.504 -2.213
-3.437 -3.208 0.317
-1.502 2.004 3.992
Tl Zr Pu
1 2 1
Cartesian
-3.740 0.650 1.048
-0.751 1.002 1.996
-1.719 -1.604 0.159
-1.271 1.252 -1.107
```

Calculated values
E_form	-1	kJ per mole of atoms
E above lowest polymorph	0.0	meV per atom
raw total energy	-8.457	eV/atom


A relaxed structure of PuZrTl2, computed with GGA-PBE.

```
PuZrTl2
1.0
4.997 0.000 0.000
2.499 4.328 0.000
2.499 1.443 5.378
Pu Zr Tl
1 1 2
Cartesian
4.997 2.885 2.886
7.496 4.328 5.103
2.499 1.443 4.413
2.499 1.443 1.043
```

Calculated values
E_form	31	kJ per mole of atoms
E above lowest polymorph	365.8	meV per atom
raw total energy	-6.581	eV/atom


A relaxed structure of PuZrTl2, computed with GGA-PBE.

```
PuZrTl2
1.0
4.517 0.000 0.000
0.000 4.745 0.000
0.000 0.000 4.745
Tl Zr Pu
2 1 1
Cartesian
0.000 0.000 2.373
0.000 2.373 0.000
2.259 0.000 0.000
2.259 2.373 2.373
```

Calculated values
E_form	6	kJ per mole of atoms
E above lowest polymorph	102.9	meV per atom
raw total energy	-6.844	eV/atom


A relaxed structure of TmPu3, computed with GGA-PBE.

```
TmPu3
1.0
3.347 5.463 -2.402
-5.081 0.811 4.510
3.598 -0.392 4.123
Tm Pu
2 6
Cartesian
0.427 2.068 5.299
1.438 3.814 0.933
-0.217 1.063 2.115
-1.098 4.253 3.187
-2.800 1.476 4.409
2.082 4.820 4.117
2.963 1.629 3.044
4.665 4.407 1.823
```

Calculated values
E_form	24	kJ per mole of atoms
E above lowest polymorph	13.3	meV per atom
raw total energy	-11.614	eV/atom


A relaxed structure of Tm3Pu, computed with GGA-PBE.

```
Tm3Pu
1.0
3.443 0.000 0.000
0.000 5.596 0.000
0.000 0.000 6.077
Tm Pu
3 1
Cartesian
0.000 0.000 0.042
1.722 0.000 3.044
1.722 2.798 5.039
0.000 2.798 2.004
```

Calculated values
E_form	8	kJ per mole of atoms
E above lowest polymorph	18.4	meV per atom
raw total energy	-6.853	eV/atom


A relaxed structure of Tm3Pu, computed with GGA-PBE.

```
Tm3Pu
1.0
5.505 0.000 0.000
2.753 4.768 0.000
2.753 1.589 4.495
Tm Pu
3 1
Cartesian
0.000 0.000 0.000
8.258 4.768 3.371
2.753 1.589 1.124
5.505 3.179 2.248
```

Calculated values
E_form	17	kJ per mole of atoms
E above lowest polymorph	107.5	meV per atom
raw total energy	-6.764	eV/atom


A relaxed structure of Tm3Pu, computed with GGA-PBE.

```
Tm3Pu
1.0
-1.465 1.120 2.923
-4.558 -3.930 -0.779
5.841 -2.451 1.823
Tm Pu
3 1
Cartesian
-0.090 -3.251 1.200
-3.001 -1.396 1.074
1.433 -0.695 3.028
-0.016 -0.014 -0.003
```

Calculated values
E_form	6	kJ per mole of atoms
E above lowest polymorph	0.0	meV per atom
raw total energy	-6.871	eV/atom


A relaxed structure of TmPu, computed with GGA-PBE.

```
TmPu
1.0
-2.581 0.419 2.818
-0.857 -3.741 -0.229
2.717 -0.782 2.605
Tm Pu
1 1
Cartesian
-0.361 -2.052 2.597
0.000 0.000 0.000
```

Calculated values
E_form	25	kJ per mole of atoms
E above lowest polymorph	55.8	meV per atom
raw total energy	-9.142	eV/atom


A relaxed structure of Tm5Pu, computed with GGA-PBE.

```
Tm5Pu
1.0
-1.991 3.040 -3.309
2.593 -2.189 -3.572
-6.745 -3.629 0.725
Tm Pu
5 1
Cartesian
-0.505 -2.656 -2.137
-3.647 -3.162 -0.710
0.301 0.426 -3.440
-2.785 -0.031 -2.003
-3.358 -2.746 -4.153
0.000 0.000 0.000
```

Calculated values
E_form	7	kJ per mole of atoms
E above lowest polymorph	0.0	meV per atom
raw total energy	-6.044	eV/atom


A relaxed structure of TmPu3, computed with GGA-PBE.

```
TmPu3
1.0
5.184 0.000 0.000
2.592 4.490 0.000
2.592 1.497 4.233
Tm Pu
1 3
Cartesian
5.184 2.993 2.116
0.000 0.000 0.000
7.776 4.490 3.175
2.592 1.497 1.058
```

Calculated values
E_form	31	kJ per mole of atoms
E above lowest polymorph	79.1	meV per atom
raw total energy	-11.548	eV/atom


A relaxed structure of TmPu3, computed with GGA-PBE.

```
TmPu3
1.0
4.811 0.000 0.000
0.000 4.811 0.000
-2.405 -2.405 4.805
Tm Pu
1 3
Cartesian
0.000 0.000 0.000
2.405 0.000 2.402
0.000 2.405 2.402
2.405 2.405 0.000
```

Calculated values
E_form	23	kJ per mole of atoms
E above lowest polymorph	1.7	meV per atom
raw total energy	-11.625	eV/atom


A relaxed structure of Tm3Pu, computed with GGA-PBE.

```
Tm3Pu
1.0
-4.262 -0.137 2.413
2.357 -1.316 4.089
0.534 4.717 1.211
Tm Pu
3 1
Cartesian
1.446 1.701 2.650
-1.864 2.290 1.812
-0.952 -0.727 3.251
0.000 0.000 0.000
```

Calculated values
E_form	13	kJ per mole of atoms
E above lowest polymorph	66.1	meV per atom
raw total energy	-6.805	eV/atom


A relaxed structure of TmPu, computed with GGA-PBE.

```
TmPu
1.0
-1.616 -0.566 2.677
3.044 0.215 1.883
-1.418 8.369 1.334
Tm Pu
2 2
Cartesian
0.969 5.490 2.926
-0.960 2.528 2.969
1.614 0.528 2.452
-1.604 7.490 3.443
```

Calculated values
E_form	20	kJ per mole of atoms
E above lowest polymorph	0.0	meV per atom
raw total energy	-9.197	eV/atom


A relaxed structure of Tm3Pu, computed with GGA-PBE.

```
Tm3Pu
1.0
3.129 -1.089 -0.912
-1.372 9.092 -2.633
-1.372 -0.997 9.413
Tm Pu
6 2
Cartesian
-0.590 6.199 0.267
0.975 0.806 5.600
0.485 6.566 3.507
-0.099 0.439 2.361
-1.080 5.149 6.305
1.465 1.857 -0.438
-0.590 3.274 3.760
0.975 3.731 2.108
```

Calculated values
E_form	26	kJ per mole of atoms
E above lowest polymorph	199.7	meV per atom
raw total energy	-6.672	eV/atom


A relaxed structure of TmPu3, computed with GGA-PBE.

```
TmPu3
1.0
4.792 0.000 0.000
0.000 4.792 0.000
0.000 0.000 4.792
Tm Pu
1 3
Cartesian
0.000 0.000 0.000
0.000 2.396 2.396
2.396 0.000 2.396
2.396 2.396 0.000
```

Calculated values
E_form	23	kJ per mole of atoms
E above lowest polymorph	0.0	meV per atom
raw total energy	-11.627	eV/atom


A relaxed structure of Tm2Pu, computed with GGA-PBE.

```
Tm2Pu
1.0
-1.704 -1.435 2.637
-1.093 -2.527 -2.082
7.327 -1.969 1.404
Tm Pu
2 1
Cartesian
0.554 -3.282 0.831
3.977 -2.649 1.128
0.000 0.000 0.000
```

Calculated values
E_form	10	kJ per mole of atoms
raw total energy	-7.659	eV/atom


A relaxed structure of TmPu6, computed with GGA-PBE.

```
TmPu6
1.0
5.789 0.000 0.000
-1.930 5.458 0.000
-1.930 -2.729 4.727
Tm Pu
1 6
Cartesian
0.000 0.000 0.000
-0.965 2.729 2.364
0.965 3.411 1.182
-0.965 0.682 3.545
2.895 0.000 2.364
0.965 -0.682 3.545
2.895 2.047 1.182
```

Calculated values
E_form	14	kJ per mole of atoms
raw total energy	-12.781	eV/atom


A relaxed structure of Tm8Pu, computed with GGA-PBE.

```
Tm8Pu
1.0
-6.771 -1.740 -5.263
5.836 -2.390 -6.070
-4.856 -0.975 7.217
Tm Pu
8 1
Cartesian
-4.517 -3.655 -6.881
-1.273 -1.449 2.765
-1.905 -4.197 -4.769
-4.209 -2.293 -3.143
-5.478 -3.724 -0.329
-1.582 -2.812 -0.974
-3.886 -0.907 0.653
-0.312 -1.380 -3.788
0.000 0.000 0.000
```

Calculated values
E_form	13	kJ per mole of atoms
raw total energy	-5.437	eV/atom


So what do the calculations give for DOS(E_F)? Going down the list: 6.98, 10.15, 10.61, 18.09, 8.34, 7.59, 6.20, 8.31, 10.38, 12.66, 11.77, 8.01, 9.07, 11.44, 37.74, 10.94, 9.55, 9.55, 6.04, 15.64, 18.08, 17.34, 15.89, 6.48, 15.42, 15.71, 7.44, 15.93, 17.93 states/eV/cell.